Record 1
Compound: Ca2Zn3HgAu12
Source: the Alexandria database
Functional: PBE-GGA
Structure: relaxed

Geometry as POSCAR:
```
Ca2Zn3HgAu12
1.0
4.344 2.508 6.323
-4.344 2.508 6.323
0.000 -5.016 6.323
Ca Zn Hg Au
2 3 1 12
direct
0.101 0.101 0.101
0.899 0.899 0.899
0.000 0.500 0.500
0.500 0.000 0.500
0.500 0.500 0.000
0.500 0.500 0.500
0.107 0.649 0.649
0.135 0.135 0.605
0.135 0.605 0.135
0.351 0.351 0.893
0.351 0.893 0.351
0.395 0.865 0.865
0.605 0.135 0.135
0.649 0.107 0.649
0.649 0.649 0.107
0.865 0.395 0.865
0.865 0.865 0.395
0.893 0.351 0.351
```

Values from the calculation:
DFT formation energy, eV/atom: -0.07
DOS(E_F), states/eV per cell: 6.62

=====

Record 2
Compound: Pm8Ni2Pd
Source: the Alexandria database
Functional: PBE-GGA
Structure: relaxed

Geometry as POSCAR:
```
Pm8Ni2Pd
1.0
9.119 -2.586 0.000
9.119 2.586 0.000
-2.072 0.000 6.368
Pm Ni Pd
8 2 1
direct
0.034 0.034 0.292
0.199 0.199 0.851
0.322 0.322 0.495
0.407 0.407 0.031
0.593 0.593 0.969
0.678 0.678 0.505
0.801 0.801 0.149
0.966 0.966 0.708
0.173 0.173 0.242
0.827 0.827 0.758
0.500 0.500 0.500
```

Values from the calculation:
DFT formation energy, eV/atom: -0.24
DOS(E_F), states/eV per cell: 11.18
Relative energy among the computed polymorphs, meV per atom: 0

=====

Record 3
Compound: Tb3Pr4ErS8
Source: the Alexandria database
Functional: PBE-GGA
Structure: relaxed

Geometry as POSCAR:
```
Tb3Pr4ErS8
1.0
3.973 2.294 6.677
-3.973 2.294 6.677
0.000 -4.588 6.677
Tb Pr Er S
3 4 1 8
direct
0.000 0.500 0.500
0.500 0.000 0.500
0.500 0.500 0.000
0.000 0.000 0.500
0.000 0.500 0.000
0.500 0.000 0.000
0.500 0.500 0.500
0.000 0.000 0.000
0.242 0.242 0.746
0.242 0.746 0.242
0.254 0.758 0.758
0.256 0.256 0.256
0.744 0.744 0.744
0.746 0.242 0.242
0.758 0.254 0.758
0.758 0.758 0.254
```

Values from the calculation:
DOS(E_F), states/eV per cell: 6.81

=====

Record 4
Compound: SbPb8Au2
Source: the Alexandria database
Functional: PBE-GGA
Structure: relaxed

Geometry as POSCAR:
```
SbPb8Au2
1.0
4.482 -6.398 0.000
4.482 6.398 0.000
-1.466 0.000 5.750
Sb Pb Au
1 8 2
direct
0.000 0.000 0.000
0.071 0.329 0.626
0.250 0.750 0.000
0.329 0.071 0.626
0.368 0.368 0.187
0.632 0.632 0.813
0.671 0.929 0.374
0.750 0.250 0.000
0.929 0.671 0.374
0.322 0.678 0.500
0.678 0.322 0.500
```

Values from the calculation:
DOS(E_F), states/eV per cell: 5.53
Relative energy among the computed polymorphs, meV per atom: 17

=====

Record 5
Compound: SrGdInGa
Source: the Alexandria database
Functional: PBE-GGA
Structure: relaxed

Geometry as POSCAR:
```
SrGdInGa
1.0
7.688 0.000 0.000
0.000 7.688 0.000
0.000 0.000 7.688
Sr Gd In Ga
4 4 4 4
direct
0.000 0.000 0.000
0.000 0.500 0.500
0.500 0.000 0.500
0.500 0.500 0.000
0.000 0.000 0.500
0.000 0.500 0.000
0.500 0.000 0.000
0.500 0.500 0.500
0.250 0.250 0.750
0.250 0.750 0.250
0.750 0.250 0.250
0.750 0.750 0.750
0.250 0.250 0.250
0.250 0.750 0.750
0.750 0.250 0.750
0.750 0.750 0.250
```

Values from the calculation:
DFT formation energy, eV/atom: -0.39
DOS(E_F), states/eV per cell: 15.34

=====

Record 6
Compound: Pm2ThHg4
Source: the Alexandria database
Functional: PBE-GGA
Structure: relaxed

Geometry as POSCAR:
```
Pm2ThHg4
1.0
2.582 1.491 9.103
-2.582 1.491 9.103
0.000 -2.982 9.103
Pm Th Hg
2 1 4
direct
0.243 0.243 0.243
0.757 0.757 0.757
0.000 0.000 0.000
0.128 0.128 0.128
0.378 0.378 0.378
0.622 0.622 0.622
0.872 0.872 0.872
```

Values from the calculation:
DFT formation energy, eV/atom: -0.25
DOS(E_F), states/eV per cell: 7.43

=====

Record 7
Compound: PrIn2Cu2
Source: the Alexandria database
Functional: PBE-GGA
Structure: relaxed

Geometry as POSCAR:
```
PrIn2Cu2
1.0
4.329 0.000 0.000
0.000 4.329 0.000
0.000 0.000 11.439
Pr In Cu
2 4 4
direct
0.000 0.000 0.000
0.500 0.500 0.500
0.000 0.500 0.250
0.000 0.500 0.750
0.500 0.000 0.250
0.500 0.000 0.750
0.000 0.000 0.395
0.000 0.000 0.605
0.500 0.500 0.105
0.500 0.500 0.895
```

Values from the calculation:
DFT formation energy, eV/atom: -0.28
DOS(E_F), states/eV per cell: 4.84

=====

Record 8
Compound: Sr2Sn4Ir3
Source: the Alexandria database
Functional: PBE-GGA
Structure: relaxed

Geometry as POSCAR:
```
Sr2Sn4Ir3
1.0
0.000 5.193 6.923
2.960 0.000 6.923
2.960 5.193 0.000
Sr Sn Ir
2 4 3
direct
0.121 0.121 0.879
0.879 0.879 0.121
0.181 0.517 0.483
0.483 0.819 0.181
0.517 0.181 0.819
0.819 0.483 0.517
0.000 0.000 0.500
0.500 0.500 0.000
0.500 0.500 0.500
```

Values from the calculation:
DFT formation energy, eV/atom: -0.41
DOS(E_F), states/eV per cell: 4.15

=====

Record 9
Compound: AcSnAs2
Source: the Alexandria database
Functional: PBE-GGA
Structure: relaxed

Geometry as POSCAR:
```
AcSnAs2
1.0
4.403 0.000 0.000
-2.202 3.813 0.000
0.000 0.000 20.971
Ac Sn As
3 3 6
direct
0.000 0.000 0.000
0.333 0.667 0.667
0.667 0.333 0.333
0.000 0.000 0.500
0.333 0.667 0.167
0.667 0.333 0.833
0.000 0.000 0.244
0.000 0.000 0.756
0.333 0.667 0.422
0.333 0.667 0.911
0.667 0.333 0.089
0.667 0.333 0.578
```

Values from the calculation:
DFT formation energy, eV/atom: -0.58
DOS(E_F), states/eV per cell: 11.81
Relative energy among the computed polymorphs, meV per atom: 39

=====

Record 10
Compound: Sm3AlCo8
Source: the Alexandria database
Functional: PBE-GGA
Structure: relaxed

Geometry as POSCAR:
```
Sm3AlCo8
1.0
2.512 1.451 8.248
-2.512 1.451 8.248
0.000 -2.901 8.248
Sm Al Co
3 1 8
direct
0.000 0.000 0.000
0.127 0.127 0.127
0.620 0.620 0.620
0.497 0.497 0.497
0.061 0.061 0.555
0.061 0.555 0.061
0.072 0.562 0.562
0.312 0.312 0.312
0.555 0.061 0.061
0.562 0.072 0.562
0.562 0.562 0.072
0.813 0.813 0.813
```

Values from the calculation:
DFT formation energy, eV/atom: -0.12
DOS(E_F), states/eV per cell: 16.93

=====

Record 11
Compound: HIrS2
Source: the Alexandria database
Functional: PBE-GGA
Structure: relaxed

Geometry as POSCAR:
```
HIrS2
1.0
3.667 0.000 0.000
0.000 5.214 0.000
0.000 0.000 5.733
H Ir S
2 2 4
direct
0.000 0.243 0.000
0.500 0.757 0.500
0.000 0.250 0.502
0.500 0.750 0.002
0.000 0.507 0.154
0.000 0.992 0.850
0.500 0.008 0.350
0.500 0.493 0.654
```

Values from the calculation:
Relative energy among the computed polymorphs, meV per atom: 23

=====

Record 12
Compound: Th4Se5S2
Source: the Alexandria database
Functional: PBE-GGA
Structure: relaxed

Geometry as POSCAR:
```
Th4Se5S2
1.0
-2.030 3.861 9.659
2.030 -3.861 9.659
2.030 3.861 -9.659
Th Se S
4 5 2
direct
0.214 0.214 0.000
0.224 0.500 0.724
0.776 0.500 0.276
0.786 0.786 0.000
0.094 0.334 0.761
0.427 0.666 0.761
0.500 0.000 0.500
0.573 0.334 0.239
0.906 0.666 0.239
0.070 0.070 0.000
0.930 0.930 0.000
```

Values from the calculation:
DOS(E_F), states/eV per cell: 4.19
Relative energy among the computed polymorphs, meV per atom: 0

=====

Record 13
Compound: ThMg2GaNi2
Source: the Alexandria database
Functional: PBE-GGA
Structure: relaxed

Geometry as POSCAR:
```
ThMg2GaNi2
1.0
4.964 0.000 0.000
0.000 4.964 0.000
0.000 0.000 9.846
Th Mg Ga Ni
2 4 2 4
direct
0.000 0.000 0.000
0.500 0.500 0.500
0.000 0.500 0.250
0.000 0.500 0.750
0.500 0.000 0.250
0.500 0.000 0.750
0.000 0.000 0.500
0.500 0.500 0.000
0.000 0.000 0.264
0.000 0.000 0.736
0.500 0.500 0.236
0.500 0.500 0.764
```

Values from the calculation:
DFT formation energy, eV/atom: -0.09
DOS(E_F), states/eV per cell: 5.83

=====

Record 14
Compound: FeMoRh2
Source: the Alexandria database
Functional: PBE-GGA
Structure: relaxed

Geometry as POSCAR:
```
FeMoRh2
1.0
3.151 0.000 0.000
0.000 3.151 0.000
0.000 0.000 5.754
Fe Mo Rh
1 1 2
direct
0.000 0.000 0.000
0.500 0.500 0.245
0.000 0.000 0.492
0.500 0.500 0.791
```

Values from the calculation:
DFT formation energy, eV/atom: 0.07
DOS(E_F), states/eV per cell: 4.20
Relative energy among the computed polymorphs, meV per atom: 215

=====

Record 15
Compound: TaGaSiOsPb
Source: the Alexandria database
Functional: PBE-GGA
Structure: relaxed

Geometry as POSCAR:
```
TaGaSiOsPb
1.0
3.038 0.000 0.000
0.000 3.623 0.000
0.000 0.000 17.338
Ta Ga Si Os Pb
2 2 2 2 2
direct
0.000 0.000 0.000
0.000 0.500 0.500
0.000 0.000 0.838
0.000 0.500 0.338
0.500 0.000 0.568
0.500 0.500 0.068
0.500 0.000 0.412
0.500 0.500 0.912
0.500 0.000 0.206
0.500 0.500 0.706
```

Values from the calculation:
DOS(E_F), states/eV per cell: 4.96
Relative energy among the computed polymorphs, meV per atom: 81

=====

Record 16
Compound: Ag5As2Se5
Source: the Alexandria database
Functional: PBE-GGA
Structure: relaxed

Geometry as POSCAR:
```
Ag5As2Se5
1.0
6.680 -1.964 0.000
6.680 1.964 0.000
-3.772 0.000 10.374
Ag As Se
5 2 5
direct
0.000 0.000 0.000
0.165 0.165 0.538
0.205 0.205 0.813
0.795 0.795 0.187
0.835 0.835 0.462
0.454 0.454 0.715
0.546 0.546 0.285
0.190 0.190 0.285
0.389 0.389 0.089
0.500 0.500 0.500
0.611 0.611 0.911
0.810 0.810 0.715
```

Values from the calculation:
DOS(E_F), states/eV per cell: 2.07

=====

Record 17
Compound: GeBi2Br8
Source: the Alexandria database
Functional: PBE-GGA
Structure: relaxed

Geometry as POSCAR:
```
GeBi2Br8
1.0
10.104 -1.967 0.000
10.104 1.967 0.000
-0.250 0.000 10.460
Ge Bi Br
1 2 8
direct
0.000 0.000 0.000
0.348 0.348 0.738
0.652 0.652 0.262
0.098 0.098 0.436
0.140 0.140 0.040
0.259 0.259 0.298
0.498 0.498 0.193
0.502 0.502 0.807
0.741 0.741 0.702
0.860 0.860 0.960
0.902 0.902 0.564
```

Values from the calculation:
DOS(E_F), states/eV per cell: 0.00

=====

Record 18
Compound: SrCo
Source: the Alexandria database
Functional: PBE-GGA
Structure: relaxed

Geometry as POSCAR:
```
SrCo
1.0
8.276 0.000 0.000
0.000 8.276 0.000
0.000 0.000 8.276
Sr Co
6 6
direct
0.000 0.250 0.500
0.000 0.750 0.500
0.250 0.500 0.000
0.500 0.000 0.250
0.500 0.000 0.750
0.750 0.500 0.000
0.000 0.500 0.250
0.000 0.500 0.750
0.250 0.000 0.500
0.500 0.250 0.000
0.500 0.750 0.000
0.750 0.000 0.500
```

Values from the calculation:
DFT formation energy, eV/atom: 1.44
DOS(E_F), states/eV per cell: 18.70

=====

Record 19
Compound: ScSiMo2
Source: the Alexandria database
Functional: PBE-GGA
Structure: relaxed

Geometry as POSCAR:
```
ScSiMo2
1.0
3.339 0.000 0.000
0.000 4.601 0.000
0.000 0.000 8.558
Sc Si Mo
2 2 4
direct
0.000 0.000 0.000
0.500 0.500 0.000
0.000 0.500 0.743
0.500 0.000 0.743
0.000 0.000 0.519
0.000 0.500 0.270
0.500 0.000 0.270
0.500 0.500 0.519
```

Values from the calculation:
DOS(E_F), states/eV per cell: 8.32

=====

Record 20
Compound: TeP
Source: the Alexandria database
Functional: PBE-GGA
Structure: relaxed

Geometry as POSCAR:
```
TeP
1.0
3.583 0.000 0.000
0.000 3.591 0.000
0.000 0.000 8.443
Te P
2 2
direct
0.250 0.000 0.246
0.750 0.000 0.754
0.250 0.500 0.627
0.750 0.500 0.373
```

Values from the calculation:
DOS(E_F), states/eV per cell: 1.90

=====

| no. | uncorrected energy (eV/atom) |
| --- | --- |
| 1 | -2.71 |
| 2 | -5.22 |
| 3 | -6.42 |
| 4 | -3.67 |
| 5 | -5.77 |
| 6 | -2.84 |
| 7 | -3.97 |
| 8 | -5.52 |
| 9 | -4.93 |
| 10 | -6.35 |
| 11 | -5.38 |
| 12 | -6.73 |
| 13 | -4.29 |
| 14 | -8.43 |
| 15 | -6.99 |
| 16 | -3.35 |
| 17 | -2.98 |
| 18 | -2.95 |
| 19 | -8.40 |
| 20 | -3.89 |